No. 1
Computed, not measured: crystalline SrSiBr2 at its relaxed geometry at the PBE level of DFT.

The structure belongs to space group P4/mmm (No. 123); the cell edges are 3.6565, 3.6565 and 11.3344 Å and the angles 90.00°, 90.00° and 90.00°. The inequivalent atoms are Sr at (0.0000, 0.0000, 0.0000), Si at (0.0000, 0.0000, 0.5000) and Br at (0.5000, 0.5000, 0.1575).

For the formation energy from raw total energies, the calculation gives -0.58 eV per atom. The value obtained for the offset from the most stable computed form is 196 meV/atom.

***

No. 2
Computed, not measured: crystalline SrSi3Br at its relaxed geometry at the PBE level of DFT.

The structure belongs to space group Pm-3m (No. 221); the cell edges are 5.1201, 5.1201 and 5.1201 Å and the angles 90.00°, 90.00° and 90.00°. The inequivalent atoms are Sr at (0.0000, 0.0000, 0.0000), Si at (0.0000, 0.5000, 0.5000) and Br at (0.5000, 0.5000, 0.5000).

For the formation energy from raw total energies, the calculation gives 0.76 eV per atom. The value obtained for the offset from the most stable computed form is 0 meV/atom.

***

No. 3
Computed, not measured: crystalline SrSiBr2 at its relaxed geometry at the PBE level of DFT.

The structure belongs to space group Fm-3m (No. 225); the cell edges are 7.6617, 7.6617 and 7.6617 Å and the angles 90.00°, 90.00° and 90.00°. The inequivalent atoms are Sr at (0.0000, 0.0000, 0.0000), Si at (0.0000, 0.0000, 0.5000) and Br at (0.2500, 0.2500, 0.2500).

For the formation energy from raw total energies, the calculation gives -0.53 eV per atom. The value obtained for the offset from the most stable computed form is 252 meV/atom.

***

No. 4
Computed, not measured: crystalline SrSiBr3 at its relaxed geometry at the PBE level of DFT.

The structure belongs to space group Pm-3m (No. 221); the cell edges are 5.8955, 5.8955 and 5.8955 Å and the angles 90.00°, 90.00° and 90.00°. The inequivalent atoms are Sr at (0.0000, 0.0000, 0.0000), Si at (0.5000, 0.5000, 0.5000) and Br at (0.0000, 0.0000, 0.5000).

For the formation energy from raw total energies, the calculation gives -0.54 eV per atom. The value obtained for the offset from the most stable computed form is 145 meV/atom.

***

No. 5
Computed, not measured: crystalline Sr4SiBr3 at its relaxed geometry at the PBE level of DFT.

The structure belongs to space group P2/c (No. 13); the cell edges are 7.9100, 9.2334 and 7.9811 Å and the angles 90.00°, 109.28° and 90.00°. The inequivalent atoms are Sr at (0.2219, 0.1059, 0.0010), Sr at (0.2333, 0.3576, 0.4791), Si at (0.0000, 0.1311, 0.2500), Br at (0.0000, 0.3790, 0.7500), Br at (0.5000, 0.1383, 0.7500) and Br at (0.5000, 0.3914, 0.2500).

For the formation energy from raw total energies, the calculation gives -1.29 eV per atom.

***

No. 6
Computed, not measured: crystalline Sr4SiBr at its relaxed geometry at the PBE level of DFT.

The structure belongs to space group F-43m (No. 216); the cell edges are 9.9129, 9.9129 and 9.9129 Å and the angles 90.00°, 90.00° and 90.00°. The inequivalent atoms are Sr at (0.1237, 0.1237, 0.3763), Si at (0.2500, 0.2500, 0.7500) and Br at (0.0000, 0.0000, 0.0000).

For the formation energy from raw total energies, the calculation gives 0.29 eV per atom.

***

No. 7
Computed, not measured: crystalline SrSiBr2 at its relaxed geometry at the PBE level of DFT.

The structure belongs to space group R-3m (No. 166, hexagonal axes); the cell edges are 4.1665, 4.1665 and 33.6374 Å and the angles 90.00°, 90.00° and 120.00°. The inequivalent atoms are Sr at (0.0000, 0.0000, 0.0000), Si at (0.0000, 0.0000, 0.5000) and Br at (0.0000, 0.0000, 0.2797).

For the formation energy from raw total energies, the calculation gives -0.58 eV per atom. The value obtained for the offset from the most stable computed form is 199 meV/atom.

***

No. 8
Computed, not measured: crystalline SrSi4Br at its relaxed geometry at the PBE level of DFT.

The structure belongs to space group F-43m (No. 216); the cell edges are 7.7753, 7.7753 and 7.7753 Å and the angles 90.00°, 90.00° and 90.00°. The inequivalent atoms are Sr at (0.0000, 0.0000, 0.0000), Si at (0.1234, 0.1234, 0.3766) and Br at (0.2500, 0.2500, 0.7500).

For the formation energy from raw total energies, the calculation gives 0.05 eV per atom.